# 1
The following is a PBE+U calculation of Sr2Fe3O6 after structural relaxation, from Alexandria via LeMat-Bulk.

abc: 5.6486 5.6486 19.3729
angles: 90.00 90.00 90.00
Closest atoms and distances in Å follow each position.
Fractional positions:
Sr 0.2375 0.2375 0.0884  7 O 2.52-2.76
Sr 0.2375 0.2375 0.9116  7 O 2.52-2.76
Sr 0.2625 0.7375 0.4116  7 O 2.52-2.76
Sr 0.2625 0.7375 0.5884  7 O 2.52-2.76
Sr 0.7375 0.2625 0.4116  7 O 2.52-2.76
Sr 0.7375 0.2625 0.5884  7 O 2.52-2.76
Sr 0.7625 0.7625 0.0884  7 O 2.52-2.76
Sr 0.7625 0.7625 0.9116  7 O 2.52-2.76
Fe 0.1755 0.1755 0.2951  4 O 1.89-2.02
Fe 0.1755 0.1755 0.7049  4 O 1.89-2.02
Fe 0.2460 0.2460 0.5000  6 O 1.97-2.19
Fe 0.2540 0.7460 0.0000  6 O 1.97-2.19
Fe 0.3245 0.6755 0.2049  4 O 1.89-2.02
Fe 0.3245 0.6755 0.7951  4 O 1.89-2.02
Fe 0.6755 0.3245 0.2049  4 O 1.89-2.02
Fe 0.6755 0.3245 0.7951  4 O 1.89-2.02
Fe 0.7460 0.2540 0.0000  6 O 1.97-2.19
Fe 0.7540 0.7540 0.5000  6 O 1.97-2.19
Fe 0.8245 0.8245 0.2951  4 O 1.89-2.02
Fe 0.8245 0.8245 0.7049  4 O 1.89-2.02
O 0.0000 0.0000 0.0000  2 Fe 2.03
O 0.0000 0.0000 0.5000  2 Fe 1.97
O 0.0000 0.5000 0.0000  2 Fe 2.00
O 0.0000 0.5000 0.5000  2 Fe 2.00
O 0.1808 0.8192 0.2858  3 Fe 1.94-2.02
O 0.1808 0.8192 0.7142  3 Fe 1.94-2.02
O 0.2439 0.7561 0.1131  1 Fe 1.89
O 0.2439 0.7561 0.8869  1 Fe 1.89
O 0.2561 0.2561 0.3869  1 Fe 1.89
O 0.2561 0.2561 0.6131  1 Fe 1.89
O 0.3192 0.3192 0.2142  3 Fe 1.94-2.02
O 0.3192 0.3192 0.7858  3 Fe 1.94-2.02
O 0.5000 0.0000 0.0000  2 Fe 2.00
O 0.5000 0.0000 0.5000  2 Fe 2.00
O 0.5000 0.5000 0.0000  2 Fe 1.97
O 0.5000 0.5000 0.5000  2 Fe 2.03
O 0.6808 0.6808 0.2142  3 Fe 1.94-2.02
O 0.6808 0.6808 0.7858  3 Fe 1.94-2.02
O 0.7439 0.7439 0.3869  1 Fe 1.89
O 0.7439 0.7439 0.6131  1 Fe 1.89
O 0.7561 0.2439 0.1131  1 Fe 1.89
O 0.7561 0.2439 0.8869  1 Fe 1.89
O 0.8192 0.1808 0.2858  3 Fe 1.94-2.02
O 0.8192 0.1808 0.7142  3 Fe 1.94-2.02

***

# 2
The following is a PBE+U calculation of PaTl2VO8 after structural relaxation, from Alexandria via LeMat-Bulk.

abc: 6.2277 6.2277 5.6982
angles: 90.00 90.00 120.00
Closest atoms and distances in Å follow each position.
Fractional positions:
Pa 0.0000 0.0000 0.0000  6 O 2.21
Tl 0.3333 0.6667 0.5684  4 O 2.07-2.25
Tl 0.6667 0.3333 0.4316  4 O 2.07-2.25
V 0.0000 0.0000 0.5000  6 O 1.96
O 0.1405 0.2809 0.7180  1 V 1.96
O 0.1405 0.8595 0.7180  1 V 1.96
O 0.2809 0.1405 0.2820  1 V 1.96
O 0.3333 0.6667 0.2059  1 Tl 2.07
O 0.6667 0.3333 0.7941  1 Tl 2.07
O 0.7191 0.8595 0.7180  1 V 1.96
O 0.8595 0.1405 0.2820  1 V 1.96
O 0.8595 0.7191 0.2820  1 V 1.96

***

no.,ρ (g cm⁻³),calculated volume (Å³ per cell),raw total energy (eV/cell)
1,4.71,618.12,-286.17
2,7.10,191.39,-77.72